[1]
DFT (PBE) results for K3USe4 after structural relaxation.

Cell: 7.544 8.111 9.169 Å, 90.00 90.00 109.66°
Site moments in Bohr magnetons follow the coordinates.
Fractional coordinates of all 16 atoms:
Se 0.001 0.193 0.099  -0.06
Se 0.457 0.221 0.327  -0.05
Se 0.499 0.807 0.099  -0.06
Se 0.043 0.779 0.327  -0.05
Se 0.501 0.193 0.901  -0.06
Se 0.999 0.807 0.901  -0.06
Se 0.957 0.221 0.673  -0.05
Se 0.543 0.779 0.673  -0.05
K 0.250 0.000 0.615  0.00
K 0.750 0.500 0.616  0.00
K 0.750 0.500 0.117  0.00
K 0.250 0.500 0.384  0.00
K 0.750 0.000 0.385  0.00
K 0.250 0.500 0.883  0.00
U 0.250 0.000 0.122  1.29
U 0.750 0.000 0.878  1.29

Total DFT energy (no corrections) = -77.25 eV/cell
Crystal system = monoclinic
ΔE_f (raw) = -10.11 eV/f.u.
SG = P2/c (13)

---

[2]
DFT (PBE) results for Na2AlNiI after structural relaxation.

Cell: 5.509 4.593 5.509 Å, 90.00 90.00 90.00°
Fractional coordinates of all 5 atoms:
I 0.500 0.500 0.500
Ni 0.000 0.000 0.000
Na 0.500 0.000 0.000
Na 0.000 0.000 0.500
Al 0.000 0.500 0.000

Total DFT energy (no corrections) = -13.93 eV/cell
Crystal system = tetragonal
ΔE_f (raw) = -0.22 eV/f.u.
SG = P4/mmm (123)

---

[3]
DFT (PBE) results for Tb4ErTm7 after structural relaxation.

Cell: 6.712 8.581 8.908 Å, 84.06 94.91 47.93°
Fractional coordinates of all 12 atoms:
Tb 0.780 0.838 0.691
Tb 0.445 0.362 0.714
Tb 0.555 0.638 0.286
Tb 0.220 0.162 0.309
Tm 0.266 0.486 0.050
Tm 0.500 0.000 0.000
Tm 0.020 0.682 0.357
Tm 0.734 0.514 0.950
Tm 0.704 0.188 0.385
Tm 0.296 0.812 0.615
Tm 0.980 0.318 0.643
Er 0.000 0.000 0.000

Total DFT energy (no corrections) = -53.29 eV/cell
Crystal system = triclinic
SG = P-1 (2)